[1]
Below is a geometry-optimized TbHo2NpS4 structure, with properties calculated at the PBE level.

Calculated density = 8.44 g cm⁻³
ΔE_f (raw) = -1840 meV per atom
V = 21.01 Å³/atom

Cell: 6.7595 3.8960 6.7621 Å, 90.00 109.32 90.00°
With the nearest neighbours (Å) after each atom.
Atoms (fractional coordinates):
Tb (0.0000, 0.0000, 0.0000)  6 S 2.77
Ho (0.0000, 0.5000, 0.5000)  6 S 2.74-2.75
Ho (0.5000, 0.0000, 0.5000)  6 S 2.74-2.75
Np (0.5000, 0.5000, 0.0000)  6 S 2.77
S (0.2493, 0.0000, 0.7468)  3 Ho 2.74-2.75, 2 Np 2.77, 1 Tb 2.77
S (0.2511, 0.5000, 0.2541)  3 Ho 2.74-2.75, 1 Np 2.77, 2 Tb 2.77
S (0.7489, 0.5000, 0.7459)  3 Ho 2.74-2.75, 1 Np 2.77, 2 Tb 2.77
S (0.7507, 0.0000, 0.2532)  3 Ho 2.74-2.75, 2 Np 2.77, 1 Tb 2.77


[2]
Below is a geometry-optimized Tb2HoNpS4 structure, with properties calculated at the PBE level.

Calculated density = 8.31 g cm⁻³
ΔE_f (raw) = -1847 meV per atom
V = 21.18 Å³/atom

Cell: 6.7780 3.9077 6.7797 Å, 90.00 109.35 90.00°
With the nearest neighbours (Å) after each atom.
Atoms (fractional coordinates):
Tb (0.0000, 0.0000, 0.0000)  6 S 2.76-2.77
Tb (0.5000, 0.5000, 0.0000)  6 S 2.78
Ho (0.0000, 0.5000, 0.5000)  6 S 2.75
Np (0.5000, 0.0000, 0.5000)  6 S 2.76-2.77
S (0.2473, 0.0000, 0.7475)  2 Ho 2.75, 3 Tb 2.76-2.78, 1 Np 2.77
S (0.2496, 0.5000, 0.2521)  1 Ho 2.75, 2 Np 2.76, 3 Tb 2.77-2.78
S (0.7504, 0.5000, 0.7479)  1 Ho 2.75, 2 Np 2.76, 3 Tb 2.77-2.78
S (0.7527, 0.0000, 0.2525)  2 Ho 2.75, 3 Tb 2.76-2.78, 1 Np 2.77


[3]
Below is a geometry-optimized HoNpTeS2 structure, with properties calculated at the PBE level.

Calculated density = 7.51 g cm⁻³
ΔE_f (raw) = -1233 meV per atom
V = 26.25 Å³/atom

Cell: 7.4144 7.4144 7.4144 Å, 145.33 145.33 49.84°
With the nearest neighbours (Å) after each atom.
Atoms (fractional coordinates):
Ho (0.0000, 0.0000, 0.0000)  4 S 2.65
Np (0.2754, 0.2754, 0.0000)  4 S 2.70
Te (0.6427, 0.6427, 0.0000)  4 Np 3.60, 4 Ho 3.67, 4 S 4.01
S (0.3911, 0.8911, 0.5000)  2 Ho 2.65, 2 Np 2.70
S (0.8911, 0.3911, 0.5000)  2 Ho 2.65, 2 Np 2.70


[4]
Below is a geometry-optimized HoNp3Tl4S8 structure, with properties calculated at the PBE level.

Calculated density = 7.57 g cm⁻³
ΔE_f (raw) = -1135 meV per atom
V = 26.72 Å³/atom

Cell: 8.8505 8.8505 8.8505 Å, 54.51 54.51 54.51°
With the nearest neighbours (Å) after each atom.
Atoms (fractional coordinates):
Ho (0.0000, 0.0000, 0.0000)  6 S 2.75
Np (0.0000, 0.5000, 0.5000)  6 S 2.75-2.77
Np (0.5000, 0.0000, 0.5000)  6 S 2.75-2.77
Np (0.5000, 0.5000, 0.0000)  6 S 2.75-2.77
Tl (0.0000, 0.0000, 0.5000)  6 S 3.27-3.29
Tl (0.0000, 0.5000, 0.0000)  6 S 3.27-3.29
Tl (0.5000, 0.0000, 0.0000)  6 S 3.27-3.29
Tl (0.5000, 0.5000, 0.5000)  6 S 3.28
S (0.2309, 0.2309, 0.7334)  1 Ho 2.75, 2 Np 2.77
S (0.2309, 0.7334, 0.2309)  1 Ho 2.75, 2 Np 2.77
S (0.2666, 0.7691, 0.7691)  1 Ho 2.75, 2 Np 2.77
S (0.2695, 0.2695, 0.2695)  3 Np 2.75
S (0.7305, 0.7305, 0.7305)  3 Np 2.75
S (0.7334, 0.2309, 0.2309)  1 Ho 2.75, 2 Np 2.77
S (0.7691, 0.2666, 0.7691)  1 Ho 2.75, 2 Np 2.77
S (0.7691, 0.7691, 0.2666)  1 Ho 2.75, 2 Np 2.77


[5]
Below is a geometry-optimized Ho3NpTl3S8 structure, with properties calculated at the PBE level.

Calculated density = 6.34 g cm⁻³
ΔE_f (raw) = -1445 meV per atom
V = 27.98 Å³/atom

Cell: 8.8728 8.8728 8.8728 Å, 53.57 53.57 53.57°
With the nearest neighbours (Å) after each atom.
Atoms (fractional coordinates):
Ho (0.0000, 0.5000, 0.5000)  6 S 2.74-2.75
Ho (0.5000, 0.0000, 0.5000)  6 S 2.74-2.75
Ho (0.5000, 0.5000, 0.0000)  6 S 2.74-2.75
Np (0.0000, 0.0000, 0.0000)  6 S 2.71
Tl (0.0000, 0.0000, 0.5000)  6 S 3.26-3.27
Tl (0.0000, 0.5000, 0.0000)  6 S 3.26-3.27
Tl (0.5000, 0.0000, 0.0000)  6 S 3.26-3.27
S (0.2286, 0.2286, 0.7357)  1 Np 2.71, 2 Ho 2.75
S (0.2286, 0.7357, 0.2286)  1 Np 2.71, 2 Ho 2.75
S (0.2643, 0.7714, 0.7714)  1 Np 2.71, 2 Ho 2.75
S (0.2681, 0.2681, 0.2681)  3 Ho 2.74
S (0.7319, 0.7319, 0.7319)  3 Ho 2.74
S (0.7357, 0.2286, 0.2286)  1 Np 2.71, 2 Ho 2.75
S (0.7714, 0.2643, 0.7714)  1 Np 2.71, 2 Ho 2.75
S (0.7714, 0.7714, 0.2643)  1 Np 2.71, 2 Ho 2.75


[6]
Below is a geometry-optimized HoNp2Tl3S6 structure, with properties calculated at the PBE level.

Calculated density = 7.50 g cm⁻³
ΔE_f (raw) = -1168 meV per atom
V = 26.65 Å³/atom

Cell: 7.0040 7.0040 7.8796 Å, 98.51 98.51 119.99°
With the nearest neighbours (Å) after each atom.
Atoms (fractional coordinates):
Ho (0.0000, 0.0000, 0.0000)  6 S 2.75
Np (0.3334, 0.6666, 0.0000)  6 S 2.76
Np (0.6666, 0.3334, 0.0000)  6 S 2.76
Tl (0.1675, 0.8325, 0.5000)  6 S 3.27-3.28
Tl (0.5000, 0.5000, 0.5000)  6 S 3.28
Tl (0.8325, 0.1675, 0.5000)  6 S 3.27-3.28
S (0.0648, 0.3977, 0.1944)  1 Ho 2.75, 2 Np 2.76
S (0.2680, 0.2680, 0.8051)  1 Ho 2.75, 2 Np 2.76
S (0.3977, 0.0648, 0.1944)  1 Ho 2.75, 2 Np 2.76
S (0.6023, 0.9352, 0.8056)  1 Ho 2.75, 2 Np 2.76
S (0.7320, 0.7320, 0.1949)  1 Ho 2.75, 2 Np 2.76
S (0.9352, 0.6023, 0.8056)  1 Ho 2.75, 2 Np 2.76


[7]
Below is a geometry-optimized HoNp2US4 structure, with properties calculated at the PBE level.

Calculated density = 10.09 g cm⁻³
ΔE_f (raw) = -1516 meV per atom
V = 20.69 Å³/atom

Cell: 6.7299 3.8647 6.7397 Å, 90.00 109.24 90.00°
With the nearest neighbours (Å) after each atom.
Atoms (fractional coordinates):
Ho (0.0000, 0.0000, 0.0000)  6 S 2.74
Np (0.5000, 0.0000, 0.5000)  6 S 2.75-2.76
Np (0.5000, 0.5000, 0.0000)  6 S 2.75
U (0.0000, 0.5000, 0.5000)  6 S 2.74
S (0.2481, 0.5000, 0.2488)  2 Ho 2.74, 1 U 2.74, 3 Np 2.75
S (0.2488, 0.0000, 0.7506)  1 Ho 2.74, 2 U 2.74, 3 Np 2.75-2.76
S (0.7512, 0.0000, 0.2494)  1 Ho 2.74, 2 U 2.74, 3 Np 2.75-2.76
S (0.7519, 0.5000, 0.7512)  2 Ho 2.74, 1 U 2.74, 3 Np 2.75


[8]
Below is a geometry-optimized YHoNp2S4 structure, with properties calculated at the PBE level.

Calculated density = 8.43 g cm⁻³
ΔE_f (raw) = -1671 meV per atom
V = 21.07 Å³/atom

Cell: 6.7344 3.9110 6.7960 Å, 90.00 109.64 90.00°
With the nearest neighbours (Å) after each atom.
Atoms (fractional coordinates):
Y (0.0000, 0.0000, 0.0000)  6 S 2.76
Ho (0.0000, 0.5000, 0.5000)  6 S 2.75
Np (0.5000, 0.0000, 0.5000)  6 S 2.76-2.77
Np (0.5000, 0.5000, 0.0000)  6 S 2.77-2.78
S (0.2477, 0.0000, 0.7491)  2 Ho 2.75, 1 Y 2.76, 3 Np 2.77
S (0.2488, 0.5000, 0.2520)  1 Ho 2.75, 3 Np 2.76-2.78, 2 Y 2.76
S (0.7512, 0.5000, 0.7480)  1 Ho 2.75, 3 Np 2.76-2.78, 2 Y 2.76
S (0.7523, 0.0000, 0.2509)  2 Ho 2.75, 1 Y 2.76, 3 Np 2.77